# 1
The following is a DFT calculation (PBE) of crystalline TbSmTe at its relaxed geometry.

Results
V (Å³/atom): 31.502
Symmetry: F-43m (216)
Total energy (eV/atom): -4.735
Energy above the lowest structure with this stoichiometry (eV/atom): 0.000
Total magnetic moment (μB per atom): 0.208

Structure (POSCAR):
```
TbSmTe
1.0
0.0000 3.6153 3.6153
3.6153 0.0000 3.6153
3.6153 3.6153 0.0000
Tb Sm Te
1 1 1
Direct
0.0000 0.0000 0.0000
0.5000 0.5000 0.5000
0.7500 0.7500 0.7500
```

=====

# 2
The following is a DFT calculation (PBE) of crystalline TbSmTlTe3 at its relaxed geometry.

Results
V (Å³/atom): 34.464
Symmetry: Cmcm (63)
Total energy (eV/atom): -4.489
Energy above the lowest structure with this stoichiometry (eV/atom): 0.014
Total magnetic moment (μB per atom): 0.051

Structure (POSCAR):
```
TbSmTlTe3
1.0
2.2287 -7.6458 0.0000
2.2287 7.6458 0.0000
0.0000 0.0000 12.1349
Tb Sm Tl Te
2 2 2 6
Direct
0.0000 0.0000 0.0000
0.0000 0.0000 0.5000
0.4299 0.5701 0.7500
0.5701 0.4299 0.2500
0.2577 0.7423 0.2500
0.7423 0.2577 0.7500
0.0651 0.9349 0.7500
0.3566 0.6434 0.5223
0.3566 0.6434 0.9777
0.6434 0.3566 0.0223
0.6434 0.3566 0.4777
0.9349 0.0651 0.2500
```

=====

# 3
The following is a DFT calculation (PBE) of crystalline TbSmTlTe3 at its relaxed geometry.

Results
V (Å³/atom): 34.986
Symmetry: Cmcm (63)
Total energy (eV/atom): -4.503
Energy above the lowest structure with this stoichiometry (eV/atom): 0.000
Total magnetic moment (μB per atom): 0.003

Structure (POSCAR):
```
TbSmTlTe3
1.0
2.2483 -7.6765 0.0000
2.2483 7.6765 0.0000
0.0000 0.0000 12.1626
Tb Sm Tl Te
2 2 2 6
Direct
0.0648 0.9352 0.7500
0.9352 0.0648 0.2500
0.5000 0.5000 0.0000
0.5000 0.5000 0.5000
0.2433 0.7567 0.2500
0.7567 0.2433 0.7500
0.1449 0.8551 0.5306
0.1449 0.8551 0.9694
0.4357 0.5643 0.7500
0.5643 0.4357 0.2500
0.8551 0.1449 0.0306
0.8551 0.1449 0.4694
```